## 1
DFT (PBE-GGA) results for a relaxed MgTc2Au crystal.

a b c (Å): 3.2962 4.1323 4.6493
angles (deg): 90.00 90.00 90.00
Fractional positions:
Au  0.5000  0.0000  0.5000
Tc  0.5000  0.5000  0.0000
Tc  0.0000  0.0000  0.0000
Mg  0.0000  0.5000  0.5000

***

## 2
DFT (PBE-GGA) results for a relaxed MgTc2Au crystal.

a b c (Å): 2.7613 2.7613 9.1508
angles (deg): 90.00 90.00 111.62
Fractional positions:
Tc  0.0000  0.0000  0.0088
Tc  0.5000  0.5000  0.2322
Au  0.0000  0.0000  0.5028
Mg  0.5000  0.5000  0.7561

***

Most stable: 1 (next structure +20 meV per atom)